# DyTlV2O6 (PBE+U, optimized geometry)
data_DyTlV2O6
_symmetry_space_group_name_H-M 'P 1'
_symmetry_Int_Tables_number 1
_cell_length_a 7.455
_cell_length_b 7.455
_cell_length_c 5.998
_cell_angle_alpha 100.10
_cell_angle_beta 100.10
_cell_angle_gamma 86.01
loop_
_symmetry_equiv_pos_as_xyz
'x,y,z'
loop_
_atom_site_label
_atom_site_type_symbol
_atom_site_fract_x
_atom_site_fract_y
_atom_site_fract_z
O1 O 0.901 0.393 0.243
O2 O 0.393 0.901 0.743
O3 O 0.675 0.550 0.618
O4 O 0.149 0.167 0.540
O5 O 0.851 0.833 0.460
O6 O 0.450 0.325 0.882
O7 O 0.325 0.450 0.382
O8 O 0.099 0.607 0.757
O9 O 0.607 0.099 0.257
O10 O 0.833 0.851 0.960
O11 O 0.167 0.149 0.040
O12 O 0.550 0.675 0.118
V1 V 0.307 0.127 0.808
V2 V 0.693 0.873 0.192
V3 V 0.127 0.307 0.308
V4 V 0.873 0.693 0.692
Dy1 Dy 0.600 0.400 0.250
Dy2 Dy 0.400 0.600 0.750
Tl1 Tl 0.171 0.829 0.250
Tl2 Tl 0.829 0.171 0.750
# Raw total energy   -147.1 eV per cell
# Total magnetic moment   4.0 μB per cell
# Space-group type   No. 15